(1)
This record from the Alexandria database describes B2PdICl after structural relaxation. The functional is PBE-GGA.

Summary:
E above lowest polymorph, meV/atom: 72
SG: Cm (8)

abc: 3.2918 3.8267 16.1781
angles: 90.00 92.47 90.00
Atoms (fractional coordinates):
I (0.3696, 0.0000, 0.2009)
I (0.3696, 0.5000, 0.7009)
B (0.3354, 0.0000, 0.3608)
B (0.3354, 0.5000, 0.8608)
B (0.8514, 0.0000, 0.3954)
B (0.8514, 0.5000, 0.8954)
Pd (0.5795, 0.0000, 0.8184)
Pd (0.5795, 0.5000, 0.3184)
Cl (0.8609, 0.0000, 0.5074)
Cl (0.8609, 0.5000, 0.0074)

(2)
This record from the Alexandria database describes B2PdICl after structural relaxation. The functional is PBE-GGA.

Summary:
E above lowest polymorph, meV/atom: 161
SG: Cm (8)

abc: 9.1512 3.1488 8.5536
angles: 90.00 113.79 90.00
Atoms (fractional coordinates):
I (0.7106, 0.0000, 0.6562)
I (0.7106, 0.5000, 0.1562)
B (0.1555, 0.0000, 0.9539)
B (0.1555, 0.5000, 0.4539)
B (0.1871, 0.0000, 0.5403)
B (0.1871, 0.5000, 0.0403)
Pd (0.9540, 0.0000, 0.3480)
Pd (0.9540, 0.5000, 0.8480)
Cl (0.2684, 0.0000, 0.7805)
Cl (0.2684, 0.5000, 0.2805)

(3)
This record from the Alexandria database describes Pr4BI2Cl after structural relaxation. The functional is PBE-GGA.

Summary:
SG: P2/m (10)

abc: 4.1211 7.3278 8.1059
angles: 106.95 90.00 90.00
Atoms (fractional coordinates):
Pr (0.5000, 0.2660, 0.1917)
Pr (0.5000, 0.7340, 0.8083)
Pr (0.0000, 0.2978, 0.8151)
Pr (0.0000, 0.7022, 0.1849)
B (0.5000, 0.5000, 0.0000)
I (0.5000, 0.0000, 0.5000)
I (0.0000, 0.5000, 0.5000)
Cl (0.0000, 0.0000, 0.0000)

(4)
This record from the Alexandria database describes RbBI2Cl after structural relaxation. The functional is PBE-GGA.

Summary:
SG: P4/mmm (123)

abc: 5.1494 5.5220 5.1494
angles: 90.00 90.00 90.00
Atoms (fractional coordinates):
I (0.0000, 0.0000, 0.5000)
I (0.5000, 0.0000, 0.0000)
B (0.0000, 0.0000, 0.0000)
Rb (0.5000, 0.5000, 0.5000)
Cl (0.0000, 0.5000, 0.0000)

Quick rundown of total DFT energy (no corrections), same order as above: -4.37; -4.28; -4.76; -2.68 eV per atom
Quick rundown of E_form (uncorrected), same order as above: 0.0216; 0.1104; -0.9202; -0.1622 eV/atom